Cu3Ag2 GGA-PBE relaxed; ΔE to the lowest computed polymorph = 29 meV/atom; energy relative to the elements = 0.071 eV per atom; space group = Pmm2
1.0
-2.1639 -0.2243 1.7826
0.0462 -3.4214 -0.3744
9.4142 -1.1083 11.2880
Ag Cu
4 6
direct
0.5000 0.0000 0.0704
0.0000 0.5000 0.1938
0.5000 0.0000 0.3171
0.5000 0.0000 0.5211
0.0000 0.5000 0.4195
0.0000 0.5000 0.6246
0.5000 0.0000 0.7093
0.0000 0.5000 0.7956
0.5000 0.0000 0.8821
0.0000 0.5000 0.9665